## Ho3Co8Sn (PBE-GGA)

Data for a relaxed Ho3Co8Sn crystal.

Cell lengths 5.0125, 5.0125, 24.6595 Å; angles 90.00, 90.00, 120.00 degrees
Closest atoms and distances in Å follow each position.
Space group R3m (No. 160, hexagonal axes)
Symmetry-distinct sites (fractional):
Ho: 0.0000 0.0000 0.0000 x3  12 Co 2.94-2.97, 4 Ho 3.10-3.12
Ho: 0.0000 0.0000 0.1266 x3  12 Co 2.89-2.96, 3 Sn 3.05, 1 Ho 3.12
Ho: 0.0000 0.0000 0.6218 x3  12 Co 2.92-3.03, 1 Sn 3.04, 3 Ho 3.10
Co: 0.0000 0.0000 0.3126 x3  6 Co 2.52-2.53
Co: 0.0000 0.0000 0.8126 x3  6 Co 2.49-2.51
Co: 0.0011 0.5005 0.0630 x9  6 Co 2.50-2.52
Co: 0.1674 0.3347 0.8948 x9  6 Co 2.49-2.53
Sn: 0.0000 0.0000 0.4984 x3  12 Co 2.90-2.95, 4 Ho 3.04-3.05

## Properties
* formation energy from the elements: -0.1930 eV/atom